# LiErTmTe3

A relaxed structure of LiErTmTe3 (PBE, Alexandria).

Cell lengths 8.7720, 4.1754, 9.4214 Å; angles 90.00, 104.06, 90.00 degrees
Last column: nearest neighbours and their distance in Å.
Space group P2_1/m (No. 11)
Inequivalent atoms, fractional coordinates:
Li 0.0856 0.2500 0.0850 (multiplicity 2)  4 Te 2.73-2.77, 2 Li 2.83
Er 0.1855 0.2500 0.7322 (multiplicity 2)  7 Te 3.09-3.24
Tm 0.3331 0.7500 0.3340 (multiplicity 2)  6 Te 3.01-3.10
Te 0.0898 0.2500 0.3778 (multiplicity 2)  1 Li 2.75
Te 0.2395 0.7500 0.9951 (multiplicity 2)  3 Li 2.73-2.77
Te 0.4204 0.7500 0.6692 (multiplicity 2)  3 Tm 3.01-3.06, 2 Er 3.09

Values from the calculation:
Formation energy (no corrections) ... -1.18 eV/atom
Crystal system ... monoclinic

---

# Li2ErUTe4

A relaxed structure of Li2ErUTe4 (PBE, Alexandria).

Cell lengths 7.4949, 4.3114, 7.5213 Å; angles 90.00, 109.35, 90.00 degrees
Last column: nearest neighbours and their distance in Å.
Space group P2/m (No. 10)
Inequivalent atoms, fractional coordinates:
Li 0.0000 0.0000 0.0000 (multiplicity 1)  6 Te 3.01
Li 0.5000 0.5000 0.0000 (multiplicity 1)  6 Te 3.05-3.06
Er 0.0000 0.5000 0.5000 (multiplicity 1)  6 Te 3.07
U 0.5000 0.0000 0.5000 (multiplicity 1)  6 Te 3.11
Te 0.2422 0.5000 0.2409 (multiplicity 2)  3 Li 3.01-3.06, 1 Er 3.07, 2 U 3.11
Te 0.2479 0.0000 0.7561 (multiplicity 2)  3 Li 3.01-3.05, 2 Er 3.07, 1 U 3.11

Values from the calculation:
Formation energy (no corrections) ... -1.00 eV/atom
Crystal system ... monoclinic

---

# Li4Er3UTe8

A relaxed structure of Li4Er3UTe8 (PBE, Alexandria).

Cell lengths 8.6482, 8.6482, 21.2212 Å; angles 90.00, 90.00, 120.00 degrees
Last column: nearest neighbours and their distance in Å.
Space group R-3m (No. 166, hexagonal axes)
Inequivalent atoms, fractional coordinates:
Li 0.0000 0.0000 0.0000 (multiplicity 3)  6 Te 3.00
Li 0.0000 0.5000 0.0000 (multiplicity 9)  6 Te 3.05
Er 0.0000 0.5000 0.5000 (multiplicity 9)  6 Te 3.07
U 0.0000 0.0000 0.5000 (multiplicity 3)  6 Te 3.12
Te 0.0000 0.0000 0.2511 (multiplicity 6)  3 Li 3.05, 3 Er 3.07
Te 0.0052 0.5026 0.7478 (multiplicity 18)  3 Li 3.00-3.05, 2 Er 3.07, 1 U 3.12

Values from the calculation:
Formation energy (no corrections) ... -1.14 eV/atom
Crystal system ... trigonal

---

Question: formation energy (no corrections) of number 2 (Li2ErUTe4)?
Answer: -1.00 eV/atom